Compound: Ba6As3H
Source: Alexandria
Functional: PBE
Structure: optimized geometry

Summary:
* calculated density: 4.34 g/cm3
* final energy: -37.22 eV per formula unit

a b c (Å): 10.2775 10.2775 7.7959
angles (deg): 90.00 90.00 102.90
Fractional positions:
Ba1 0.0408 0.9592 0.5000
Ba2 0.1090 0.5710 0.5140
Ba3 0.2167 0.7833 0.9998
Ba4 0.3175 0.3578 0.0225
Ba5 0.3578 0.3175 0.5225
Ba6 0.4290 0.8910 0.5140
Ba7 0.5710 0.1090 0.0140
Ba8 0.6422 0.6825 0.0225
Ba9 0.6825 0.6422 0.5225
Ba10 0.7833 0.2167 0.4998
Ba11 0.8910 0.4290 0.0140
Ba12 0.9592 0.0408 0.0000
As1 0.0687 0.2858 0.2960
As2 0.2858 0.0687 0.7960
As3 0.3856 0.6144 0.7455
As4 0.6144 0.3856 0.2455
As5 0.7142 0.9313 0.2960
As6 0.9313 0.7142 0.7960
H1 0.1918 0.8082 0.3571
H2 0.8082 0.1918 0.8571